1.
Entry from the Alexandria database: YNiPb2 after structural relaxation (PBE-GGA).

Values from the calculation:
Space group   C2/m (12)
Formation energy from the elements   -14 kJ/mol of atoms

Lattice parameters (Å, degrees): 7.7308 4.4853 6.1023 90.00 115.14 90.00
Fractional positions:
Y (0.0000, 0.0000, 0.0000)
Y (0.5000, 0.5000, 0.0000)
Ni (0.0000, 0.5000, 0.5000)
Ni (0.5000, 0.0000, 0.5000)
Pb (0.2274, 0.0000, 0.6815)
Pb (0.2726, 0.5000, 0.3185)
Pb (0.7274, 0.5000, 0.6815)
Pb (0.7726, 0.0000, 0.3185)

=====

2.
Entry from the Alexandria database: YNiPb2 after structural relaxation (PBE-GGA).

Values from the calculation:
Space group   P2/m (10)
Formation energy from the elements   -10 kJ/mol of atoms

Lattice parameters (Å, degrees): 3.8824 4.4362 5.8030 90.00 99.82 90.00
Fractional positions:
Y (0.0000, 0.0000, 0.0000)
Ni (0.5000, 0.0000, 0.5000)
Pb (0.3336, 0.5000, 0.7231)
Pb (0.6664, 0.5000, 0.2769)

=====

Values of ΔE to the lowest computed polymorph, in order: 0.0; 4.2, all in kJ/mol of atoms.